Density functional theory data (SCAN) for ZnFeAg at its PBEsol-relaxed geometry.

Calculated values
- energy of formation (eV/atom) = 0.521
- density (g/cm³) = 7.7
- E (eV/atom) = -20.483
- E above lowest polymorph (meV per atom) = 415

Lattice parameters (Å, degrees): 4.114 4.114 4.114 60.00 60.00 60.00
Sites, in units of the cell vectors:
Ag 0.500 0.500 0.500
Fe 0.250 0.250 0.250
Zn 0.000 0.000 0.000